Record 1
# RbInHgI

A relaxed structure of RbInHgI (PBE, the Alexandria database).

Values from the calculation:
Crystal system = cubic
VASP energy = -0.0647 hartree per atom
SG = F-43m (216)

Cell and atoms, written as POSCAR:
```
RbInHgI
1.0
-4.2679 -2.6089 3.4098
-1.3302 -5.8552 -0.7710
1.5566 -4.0402 4.2310
In I Hg Rb
1 1 1 1
direct
0.2500 0.2500 0.2500
0.0000 0.0000 0.0000
0.5000 0.5000 0.5000
0.7500 0.7500 0.7500
```

Record 2
# RbInHg2I

A relaxed structure of RbInHg2I (PBE, the Alexandria database).

Values from the calculation:
Crystal system = tetragonal
VASP energy = -0.0583 hartree per atom
SG = P4/mmm (123)

Cell and atoms, written as POSCAR:
```
RbInHg2I
1.0
-2.0009 2.9442 4.4623
-4.3219 -3.6952 0.5001
3.6987 -3.7654 4.1428
In Rb Hg I
1 1 2 1
direct
0.0000 0.0000 0.0000
0.5000 0.5000 0.5000
0.5000 0.0000 0.0000
0.0000 0.5000 0.0000
0.0000 0.0000 0.5000
```

Record 3
# RbIn2HgI6

A relaxed structure of RbIn2HgI6 (PBE, the Alexandria database).

Values from the calculation:
Crystal system = monoclinic
VASP energy = -0.0806 hartree per atom
SG = C2/c (15)

Cell and atoms, written as POSCAR:
```
RbIn2HgI6
1.0
11.3455 1.2335 0.5966
-0.1648 11.4111 0.5966
-2.6130 -2.9551 8.4544
I Hg In Rb
12 2 4 2
direct
0.1498 0.1355 0.9451
0.3381 0.4428 0.3518
0.5417 0.0733 0.2931
0.1355 0.1498 0.4451
0.8645 0.8502 0.5549
0.6619 0.5572 0.6482
0.4583 0.9267 0.7069
0.5572 0.6619 0.1482
0.4428 0.3381 0.8518
0.9267 0.4583 0.2069
0.8502 0.8645 0.0549
0.0733 0.5417 0.7931
0.7808 0.2192 0.7500
0.2192 0.7808 0.2500
0.3020 0.1302 0.7358
0.8698 0.6980 0.7642
0.1302 0.3020 0.2358
0.6980 0.8698 0.2642
0.3552 0.6448 0.7500
0.6448 0.3552 0.2500
```

Record 4
# Rb2InHg2I4

A relaxed structure of Rb2InHg2I4 (PBE, the Alexandria database).

Values from the calculation:
Crystal system = tetragonal
VASP energy = -0.0763 hartree per atom
SG = I4/mmm (139)

Cell and atoms, written as POSCAR:
```
Rb2InHg2I4
1.0
-1.9620 7.5128 0.7212
-4.5629 -3.5094 -5.2608
-0.9361 -3.7191 6.7900
I Hg Rb In
4 2 2 1
direct
0.0000 0.7516 0.2484
0.0000 0.2484 0.7516
0.4968 0.2484 0.2484
0.5032 0.7516 0.7516
0.0000 0.6809 0.6809
0.0000 0.3191 0.3191
0.5000 0.2500 0.7500
0.5000 0.7500 0.2500
0.0000 0.0000 0.0000
```

Record 5
# InHgS2I

A relaxed structure of InHgS2I (PBE, the Alexandria database).

Values from the calculation:
Crystal system = monoclinic
VASP energy = -0.1066 hartree per atom
SG = P2_1/m (11)

Cell and atoms, written as POSCAR:
```
InHgS2I
1.0
-3.5235 1.1371 -1.9380
2.3793 -3.7047 -6.4995
-4.3763 -9.0492 2.6472
In I Hg S
2 2 2 4
direct
0.2500 0.5659 0.3694
0.7500 0.4341 0.6306
0.2500 0.9888 0.8132
0.7500 0.0112 0.1868
0.2500 0.7399 0.0031
0.7500 0.2601 0.9969
0.2500 0.4886 0.1484
0.2500 0.3028 0.5345
0.7500 0.5114 0.8516
0.7500 0.6972 0.4655
```

Record 6
# InHgSI

A relaxed structure of InHgSI (PBE, the Alexandria database).

Values from the calculation:
Crystal system = monoclinic
VASP energy = -0.0935 hartree per atom
SG = Cm (8)

Cell and atoms, written as POSCAR:
```
InHgSI
1.0
-1.0219 3.7214 1.3237
-2.6341 2.2712 -2.1327
-7.1630 -3.7163 4.9005
S Hg I In
1 1 1 1
direct
0.5722 0.5722 0.0676
0.2398 0.2398 0.4684
0.9062 0.9062 0.6661
0.2389 0.2389 0.1818
```

Record 7
# InHgSbI2

A relaxed structure of InHgSbI2 (PBE, the Alexandria database).

Values from the calculation:
Excess energy over the best structure of this formula in the dataset = 0 meV per atom
Crystal system = tetragonal
SG = P4/mmm (123)

Cell and atoms, written as POSCAR:
```
InHgSbI2
1.0
6.0169 0.0000 0.0000
0.0000 6.0169 0.0000
0.0000 0.0000 5.8779
Hg I In Sb
1 2 1 1
direct
0.5000 0.5000 0.5000
0.0000 0.5000 0.0000
0.5000 0.0000 0.0000
0.0000 0.0000 0.0000
0.0000 0.0000 0.5000
```

Record 8
# InHg5Sb2I4

A relaxed structure of InHg5Sb2I4 (PBE, the Alexandria database).

Values from the calculation:
Crystal system = orthorhombic
VASP energy = -0.0615 hartree per atom
SG = Amm2 (38)

Cell and atoms, written as POSCAR:
```
InHg5Sb2I4
1.0
-0.7329 7.6282 -4.3469
-4.8060 -6.3031 -1.3223
-5.5427 2.9458 6.1038
I Hg Sb In
4 5 2 1
direct
0.3026 0.4769 0.0000
0.8277 0.0000 0.7435
0.8277 0.0000 0.2565
0.8257 0.5231 0.0000
0.1898 0.0000 0.5000
0.1181 0.4706 0.7154
0.1181 0.4706 0.2846
0.6475 0.5294 0.2846
0.6475 0.5294 0.7154
0.3687 0.4099 0.5000
0.9588 0.5901 0.5000
0.5735 0.0000 0.0000
```

Record 9
# InHgSbI2

A relaxed structure of InHgSbI2 (PBE, the Alexandria database).

Values from the calculation:
Excess energy over the best structure of this formula in the dataset = 55 meV per atom
Crystal system = tetragonal
SG = P4/mmm (123)

Cell and atoms, written as POSCAR:
```
InHgSbI2
1.0
-4.5934 2.8165 3.1002
-3.7306 -0.6591 -4.9286
-1.7056 -4.9281 1.9501
I Sb Hg In
2 1 1 1
direct
0.5000 0.0000 0.0000
0.0000 0.5000 0.0000
0.0000 0.0000 0.5000
0.0000 0.0000 0.0000
0.5000 0.5000 0.5000
```

Record 10
# InHgSe2I

A relaxed structure of InHgSe2I (PBE, the Alexandria database).

Values from the calculation:
Crystal system = monoclinic
VASP energy = -0.0945 hartree per atom
SG = P2_1/m (11)

Cell and atoms, written as POSCAR:
```
InHgSe2I
1.0
-0.7408 4.4575 3.7633
-7.4196 -1.3545 0.1439
4.0721 -4.4165 6.0327
Hg Se In I
2 4 2 2
direct
0.2500 0.5869 0.8840
0.7500 0.4131 0.1160
0.2500 0.4468 0.1300
0.2500 0.3405 0.5572
0.7500 0.5532 0.8700
0.7500 0.6595 0.4428
0.2500 0.6354 0.4576
0.7500 0.3646 0.5424
0.2500 0.9420 0.7744
0.7500 0.0580 0.2256
```

Record 11
# In2SnHg2I6

A relaxed structure of In2SnHg2I6 (PBE, the Alexandria database).

Values from the calculation:
Crystal system = monoclinic
VASP energy = -0.0769 hartree per atom
SG = C2/m (12)

Cell and atoms, written as POSCAR:
```
In2SnHg2I6
1.0
-0.3298 -7.0212 -5.1234
6.1142 1.5770 4.8286
-7.8492 -3.0404 4.6720
I In Hg Sn
6 2 2 1
direct
0.8462 0.1855 0.7745
0.3393 0.1855 0.7745
0.1538 0.8145 0.2255
0.2369 0.4737 0.4328
0.7631 0.5263 0.5672
0.6607 0.8145 0.2255
0.9789 0.9577 0.8392
0.0211 0.0423 0.1608
0.3698 0.7396 0.8572
0.6302 0.2604 0.1428
0.5000 0.0000 0.5000
```

Record 12
# InSnHgI6

A relaxed structure of InSnHgI6 (PBE, the Alexandria database).

Values from the calculation:
Crystal system = trigonal
VASP energy = -0.0792 hartree per atom
SG = P312 (149)

Cell and atoms, written as POSCAR:
```
InSnHgI6
1.0
-6.1650 -1.2510 4.1581
-1.6389 -6.9902 2.3051
4.8306 1.3643 7.5723
In Sn I Hg
1 1 6 1
direct
0.3333 0.3334 0.5000
0.6666 0.6667 0.5000
0.0096 0.3449 0.3075
0.0095 0.6455 0.6925
0.6455 0.0096 0.3075
0.3449 0.6455 0.3074
0.3449 0.0096 0.6925
0.6455 0.3449 0.6926
0.0000 0.0000 0.0000
```